No. 1
The following is a DFT calculation (GGA-PBE) of a relaxed Pr11Ho9Th4 crystal.

Cell: 3.7117 15.5392 15.5392 Å, 113.03 90.00 90.00°
Last column: nearest neighbours and their distance in Å.
Element x y z (fractional)
Pr 0.0000 0.5924 0.9552  2 Th 3.41, 6 Ho 3.57-3.76, 3 Pr 3.65-3.71
Pr 0.0000 0.9552 0.5924  2 Th 3.41, 6 Ho 3.57-3.76, 3 Pr 3.65-3.71
Pr 0.0000 0.8414 0.1586  5 Pr 3.71-4.11, 8 Ho 3.75
Pr 0.0000 0.7068 0.7068  4 Th 3.34, 2 Pr 3.71, 4 Ho 3.74
Pr 0.0000 0.6315 0.3685  4 Th 3.36, 4 Ho 3.69, 2 Pr 3.71
Pr 0.0000 0.0448 0.4076  2 Th 3.41, 6 Ho 3.57-3.76, 3 Pr 3.65-3.71
Pr 0.0000 0.1586 0.8414  5 Pr 3.71-4.11, 8 Ho 3.75
Pr 0.0000 0.3685 0.6315  4 Th 3.36, 4 Ho 3.69, 2 Pr 3.71
Pr 0.0000 0.4076 0.0448  2 Th 3.41, 6 Ho 3.57-3.76, 3 Pr 3.65-3.71
Pr 0.0000 0.0000 0.0000  8 Ho 3.56, 2 Pr 3.71
Pr 0.0000 0.2932 0.2932  4 Th 3.34, 2 Pr 3.71, 4 Ho 3.74
Ho 0.5000 0.6338 0.1641  3 Ho 3.46-3.71, 8 Pr 3.57-3.76, 1 Th 3.57
Ho 0.5000 0.2114 0.0663  8 Pr 3.56-3.75, 1 Th 3.57, 3 Ho 3.71-3.76
Ho 0.5000 0.7886 0.9337  8 Pr 3.56-3.75, 1 Th 3.57, 3 Ho 3.71-3.76
Ho 0.5000 0.1641 0.6338  3 Ho 3.46-3.71, 8 Pr 3.57-3.76, 1 Th 3.57
Ho 0.5000 0.9337 0.7886  8 Pr 3.56-3.75, 1 Th 3.57, 3 Ho 3.71-3.76
Ho 0.5000 0.0663 0.2114  8 Pr 3.56-3.75, 1 Th 3.57, 3 Ho 3.71-3.76
Ho 0.5000 0.5000 0.5000  2 Ho 3.71, 4 Th 3.78, 8 Pr 3.88-4.00
Ho 0.5000 0.8359 0.3661  3 Ho 3.46-3.71, 8 Pr 3.57-3.76, 1 Th 3.57
Ho 0.5000 0.3661 0.8359  3 Ho 3.46-3.71, 8 Pr 3.57-3.76, 1 Th 3.57
Th 0.5000 0.5554 0.7597  6 Pr 3.34-3.41, 2 Ho 3.57, 2 Th 3.71
Th 0.5000 0.7597 0.5554  6 Pr 3.34-3.41, 2 Ho 3.57, 2 Th 3.71
Th 0.5000 0.4446 0.2403  6 Pr 3.34-3.41, 2 Ho 3.57, 2 Th 3.71
Th 0.5000 0.2403 0.4446  6 Pr 3.34-3.41, 2 Ho 3.57, 2 Th 3.71

Output
E_tot: -120.66 eV for the cell shown
Formation enthalpy at 0 K: 0.117 eV/atom
Total magnetization: 0.001 μB per formula unit
Space group: No. 65

No. 2
The following is a DFT calculation (GGA-PBE) of a relaxed SmVSi2Os crystal.

Cell: 4.0195 4.0195 6.0189 Å, 109.51 109.51 90.00°
Last column: nearest neighbours and their distance in Å.
Element x y z (fractional)
Si 0.3823 0.3823 0.7647  2 Os 2.45, 2 V 2.45, 1 Si 2.50
Si 0.6177 0.6177 0.2353  2 Os 2.45, 2 V 2.45, 1 Si 2.50
Sm 0.0000 0.0000 0.0000  8 Si 3.10, 4 Os 3.33, 4 V 3.33
Os 0.2500 0.7500 0.5000  4 Si 2.45
V 0.7500 0.2500 0.5000  4 Si 2.45

Output
E_tot: -39.13 eV for the cell shown
Energy relative to the elements, uncorrected: -0.643 eV/atom
Total magnetization: 0.703 μB per formula unit
Space group: No. 119

No. 3
The following is a DFT calculation (GGA-PBE) of a relaxed BeInBr crystal.

Cell: 5.0875 5.0875 5.0875 Å, 60.00 60.00 60.00°
Last column: nearest neighbours and their distance in Å.
Element x y z (fractional)
Br 0.5000 0.5000 0.5000  4 In 3.12
Be 0.0000 0.0000 0.0000  4 In 3.12
In 0.7500 0.7500 0.7500  4 Be 3.12, 4 Br 3.12

Output
Distance to the lowest polymorph of the same formula: 165 kJ/mol of formula units
E_tot: -6.32 eV for the cell shown
Energy relative to the elements, uncorrected: 0.605 eV/atom
Total magnetization: 0.000 μB per formula unit
Space group: No. 216

No. 4
The following is a DFT calculation (GGA-PBE) of a relaxed Ce2ZrTa crystal.

Cell: 3.0470 3.0470 11.7642 Å, 82.56 82.56 60.00°
Last column: nearest neighbours and their distance in Å.
Element x y z (fractional)
Zr 0.5000 0.5000 0.5000  6 Zr 3.05
Ta 0.0000 0.0000 0.0000  2 Ce 2.87, 6 Ta 3.05
Ce 0.9177 0.9177 0.2469  1 Ta 2.87, 6 Ce 3.05
Ce 0.0823 0.0823 0.7531  1 Ta 2.87, 6 Ce 3.05

Output
E_tot: -30.63 eV for the cell shown
Formation enthalpy at 0 K: 0.410 eV/atom
Total magnetization: 0.000 μB per formula unit
Space group: No. 166

No. 5
The following is a DFT calculation (GGA-PBE) of a relaxed Tm3Co3B8 crystal.

Cell: 3.2298 6.9422 6.9422 Å, 78.07 76.55 76.55°
Last column: nearest neighbours and their distance in Å.
Element x y z (fractional)
B 0.8197 0.4901 0.8704  3 B 1.84-1.90, 1 Co 2.01
B 0.1803 0.1296 0.5099  3 B 1.84-1.90, 1 Co 2.01
B 0.6369 0.0856 0.6407  3 B 1.84-1.90
B 0.8197 0.8704 0.4901  3 B 1.84-1.90, 1 Co 2.01
B 0.3631 0.3593 0.9144  3 B 1.84-1.90
B 0.1803 0.5099 0.1296  3 B 1.84-1.90, 1 Co 2.01
B 0.3631 0.9144 0.3593  3 B 1.84-1.90
B 0.6369 0.6407 0.0856  3 B 1.84-1.90
Co 0.5000 0.0000 0.0000  4 B 2.40, 4 Co 2.53, 4 Tm 2.63
Co 0.0000 0.2224 0.7776  6 B 2.01-2.14
Co 0.0000 0.7776 0.2224  6 B 2.01-2.14
Tm 0.7977 0.2023 0.2023  10 B 2.61-2.72, 4 Co 2.63-2.85
Tm 0.2023 0.7977 0.7977  10 B 2.61-2.72, 4 Co 2.63-2.85
Tm 0.5000 0.5000 0.5000  12 B 2.81-2.97, 4 Co 2.92, 2 Tm 3.06

Output
E_tot: -92.14 eV for the cell shown
Formation enthalpy at 0 K: -0.285 eV/atom
Total magnetization: 0.054 μB per formula unit
Space group: No. 71

No. 6
The following is a DFT calculation (GGA-PBE) of a relaxed CaTc2BrN crystal.

Cell: 4.6133 4.7679 4.6133 Å, 90.00 90.00 90.00°
Last column: nearest neighbours and their distance in Å.
Element x y z (fractional)
Tc 0.0000 0.0000 0.5000  2 Br 2.31
Tc 0.5000 0.0000 0.0000  2 Br 2.31
Br 0.0000 0.0000 0.0000  4 Tc 2.31, 2 N 2.38
Ca 0.5000 0.5000 0.5000  4 N 3.26, 8 Tc 3.32
N 0.0000 0.5000 0.0000  2 Br 2.38

Output
E_tot: -24.26 eV for the cell shown
Energy relative to the elements, uncorrected: 1.695 eV/atom
Total magnetization: 3.989 μB per formula unit
Space group: No. 123

No. 7
The following is a DFT calculation (GGA-PBE) of a relaxed TcPd2Pt6 crystal.

Cell: 2.7725 2.7725 21.1335 Å, 90.00 90.00 120.00°
Last column: nearest neighbours and their distance in Å.
Element x y z (fractional)
Pt 0.0000 0.0000 0.5623  7 Pt 2.63-2.77, 3 Pd 2.83
Pt 0.0000 0.0000 0.4377  7 Pt 2.63-2.77, 3 Pd 2.83
Pt 0.3333 0.6667 0.8975  3 Tc 2.69, 9 Pt 2.77-2.88
Pt 0.0000 0.0000 0.7843  9 Pt 2.77-2.88, 3 Pd 2.84
Pt 0.0000 0.0000 0.2157  9 Pt 2.77-2.88, 3 Pd 2.84
Pt 0.3333 0.6667 0.1025  3 Tc 2.69, 9 Pt 2.77-2.88
Pd 0.3333 0.6667 0.3270  6 Pd 2.77, 6 Pt 2.83-2.84
Pd 0.3333 0.6667 0.6730  6 Pd 2.77, 6 Pt 2.83-2.84
Tc 0.0000 0.0000 0.0000  6 Pt 2.69, 6 Tc 2.77

Output
E_tot: -57.15 eV for the cell shown
Formation enthalpy at 0 K: -0.017 eV/atom
Total magnetization: 0.000 μB per formula unit
Space group: No. 187

No. 8
The following is a DFT calculation (GGA-PBE) of a relaxed CaZnPt2 crystal.

Cell: 4.2442 4.2365 3.8533 Å, 90.00 90.00 90.00°
Last column: nearest neighbours and their distance in Å.
Element x y z (fractional)
Ca 0.0000 0.5000 0.5000  8 Pt 2.86-2.87, 4 Zn 3.00
Pt 0.0000 0.0000 0.0000  4 Ca 2.86, 4 Zn 2.87, 4 Pt 3.00
Pt 0.5000 0.5000 0.0000  4 Zn 2.86, 4 Ca 2.87, 4 Pt 3.00
Zn 0.5000 0.0000 0.5000  8 Pt 2.86-2.87, 4 Ca 3.00

Output
E_tot: -17.90 eV for the cell shown
Formation enthalpy at 0 K: -0.635 eV/atom
Total magnetization: 0.000 μB per formula unit
Space group: No. 123

No. 9
The following is a DFT calculation (GGA-PBE) of a relaxed MnP2PbAu crystal.

Cell: 4.3008 5.3622 4.3008 Å, 90.00 90.00 90.00°
Last column: nearest neighbours and their distance in Å.
Element x y z (fractional)
P 0.5000 0.0000 0.0000  2 Mn 2.15
P 0.0000 0.0000 0.5000  2 Mn 2.15
Pb 0.5000 0.5000 0.5000  4 Au 3.04
Au 0.0000 0.5000 0.0000  2 Mn 2.68
Mn 0.0000 0.0000 0.0000  4 P 2.15

Output
E_tot: -25.92 eV for the cell shown
Formation enthalpy at 0 K: 0.211 eV/atom
Total magnetization: 0.013 μB per formula unit
Space group: No. 123

No. 10
The following is a DFT calculation (GGA-PBE) of a relaxed Pm7RhBr12 crystal.

Cell: 9.4853 9.4853 9.4853 Å, 106.81 106.81 106.81°
Last column: nearest neighbours and their distance in Å.
Element x y z (fractional)
Rh 0.0000 0.0000 0.0000  6 Pm 2.76
Pm 0.3118 0.1043 0.0212  1 Rh 2.76, 3 Br 2.98-3.07
Pm 0.1043 0.0212 0.3118  1 Rh 2.76, 3 Br 2.98-3.07
Pm 0.8957 0.9788 0.6882  1 Rh 2.76, 3 Br 2.98-3.07
Pm 0.5000 0.5000 0.5000  6 Br 2.91
Pm 0.6882 0.8957 0.9788  1 Rh 2.76, 3 Br 2.98-3.07
Pm 0.0212 0.3118 0.1043  1 Rh 2.76, 3 Br 2.98-3.07
Pm 0.9788 0.6882 0.8957  1 Rh 2.76, 3 Br 2.98-3.07
Br 0.7803 0.9273 0.3207  3 Pm 2.98-3.18
Br 0.1672 0.3819 0.4638  3 Pm 2.91-3.10
Br 0.6181 0.5362 0.8328  3 Pm 2.91-3.10
Br 0.3207 0.7803 0.9273  3 Pm 2.98-3.18
Br 0.9273 0.3207 0.7803  3 Pm 2.98-3.18
Br 0.8328 0.6181 0.5362  3 Pm 2.91-3.10
Br 0.3819 0.4638 0.1672  3 Pm 2.91-3.10
Br 0.2197 0.0727 0.6793  3 Pm 2.98-3.18
Br 0.5362 0.8328 0.6181  3 Pm 2.91-3.10
Br 0.4638 0.1672 0.3819  3 Pm 2.91-3.10
Br 0.6793 0.2197 0.0727  3 Pm 2.98-3.18
Br 0.0727 0.6793 0.2197  3 Pm 2.98-3.18

Output
E_tot: -93.10 eV for the cell shown
Energy relative to the elements, uncorrected: -1.621 eV/atom
Total magnetization: 0.001 μB per formula unit
Space group: No. 148

No. 11
The following is a DFT calculation (GGA-PBE) of a relaxed Pm3Sc4Ge4 crystal.

Cell: 4.0716 8.5118 8.9251 Å, 118.48 103.19 90.00°
Last column: nearest neighbours and their distance in Å.
Element x y z (fractional)
Ge 0.5000 0.2186 0.0000  2 Sc 2.74
Ge 0.2372 0.7372 0.4745  6 Sc 2.79-2.95, 2 Pm 3.10
Ge 0.5000 0.7814 0.0000  2 Sc 2.74
Ge 0.7628 0.2628 0.5255  6 Sc 2.79-2.95, 2 Pm 3.10
Pm 0.1089 0.1089 0.2177  6 Ge 3.10-3.21, 1 Pm 3.30, 4 Sc 3.46
Pm 0.8911 0.8911 0.7823  6 Ge 3.10-3.21, 1 Pm 3.30, 4 Sc 3.46
Pm 0.0000 0.5000 0.0000  4 Ge 3.14
Sc 0.3265 0.1340 0.6529  4 Ge 2.74-2.95
Sc 0.3265 0.5189 0.6529  4 Ge 2.74-2.95
Sc 0.6735 0.8660 0.3471  4 Ge 2.74-2.95
Sc 0.6735 0.4811 0.3471  4 Ge 2.74-2.95

Output
E_tot: -65.84 eV for the cell shown
Formation enthalpy at 0 K: -0.708 eV/atom
Total magnetization: 2.565 μB per formula unit
Space group: No. 71

No. 12
The following is a DFT calculation (GGA-PBE) of a relaxed LaSiRh2 crystal.

Cell: 5.6302 5.6302 5.6302 Å, 143.85 134.86 59.14°
Last column: nearest neighbours and their distance in Å.
Element x y z (fractional)
Rh 0.9928 0.9928 0.0000  4 Si 2.80, 2 Rh 3.03, 2 La 3.10
Rh 0.7097 0.2097 0.5000  2 Si 2.47
La 0.2658 0.7658 0.5000  6 Rh 2.83-3.10, 4 Si 3.14-3.15
Si 0.5318 0.5318 0.0000  2 Rh 2.47

Output
E_tot: -27.02 eV for the cell shown
Energy relative to the elements, uncorrected: -0.491 eV/atom
Total magnetization: 0.000 μB per formula unit
Space group: No. 44

What is the total magnetization in the twelfth record?
0.000 μB per formula unit